A plane-wave DFT calculation with PBE was carried out for a relaxed structure of NdSm6Ho12.

abc: 9.4254 9.4254 9.4254
angles: 110.92 110.92 110.92
Fractional positions:
1 Nd 0.0000 0.0000 0.0000
2 Sm 0.0540 0.3690 0.5785
3 Sm 0.3690 0.5785 0.0540
4 Sm 0.4215 0.9460 0.6310
5 Sm 0.5785 0.0540 0.3690
6 Sm 0.6310 0.4215 0.9460
7 Sm 0.9460 0.6310 0.4215
8 Ho 0.1055 0.7370 0.1575
9 Ho 0.1575 0.1055 0.7370
10 Ho 0.2109 0.4739 0.3159
11 Ho 0.2630 0.8425 0.8945
12 Ho 0.3159 0.2109 0.4739
13 Ho 0.4739 0.3159 0.2109
14 Ho 0.5261 0.6841 0.7891
15 Ho 0.6841 0.7891 0.5261
16 Ho 0.7370 0.1575 0.1055
17 Ho 0.7891 0.5261 0.6841
18 Ho 0.8425 0.8945 0.2630
19 Ho 0.8945 0.2630 0.8425



A plane-wave DFT calculation with PBE was carried out for a relaxed structure of Co2RuPt.

abc: 4.0191 5.0417 5.0417
angles: 30.50 90.00 90.00
Fractional positions:
1 Co 0.0000 0.0000 0.0000
2 Co 0.5000 0.1270 0.1270
3 Ru 0.5000 0.3952 0.3952
4 Pt 0.0000 0.7388 0.7388



Number 1: ΔH_f (0 K) 32 kJ/mol of formula units, calculated total energy -4.62 eV/atom, excess energy over the best structure of this formula in the dataset 0 meV/atom. Number 2: ΔH_f (0 K) 31 kJ/mol of formula units, calculated total energy -7.30 eV/atom, excess energy over the best structure of this formula in the dataset 15 meV/atom.